{"formula": "AlCoCu2", "functional": "SCAN", "state": "PBEsol geometry", "lattice_angstrom": [[1.2944, 0.7473, 8.2244], [-1.2944, 0.7473, 8.2244], [0.0000, -1.4946, 8.2244]], "species": ["Al", "Co", "Cu", "Cu"], "fractional_positions": [[0.0000, 0.0000, 0.0000], [0.5000, 0.5000, 0.5000], [0.2486, 0.2486, 0.2486], [0.7514, 0.7514, 0.7514]], "delta_e_f_ev_per_fu": 0.13, "spacegroup": "R-3m (166)"}

{"formula": "Cs2MgFeC6N6", "functional": "SCAN", "state": "PBEsol geometry", "lattice_angstrom": [[0.0000, 5.1685, 5.1685], [5.1685, 0.0000, 5.1685], [5.1685, 5.1685, 0.0000]], "species": ["Cs", "Cs", "Mg", "Fe", "C", "C", "C", "C", "C", "C", "N", "N", "N", "N", "N", "N"], "fractional_positions": [[0.2500, 0.2500, 0.2500], [0.7500, 0.7500, 0.7500], [0.0000, 0.0000, 0.0000], [0.5000, 0.5000, 0.5000], [0.3210, 0.3210, 0.6790], [0.3210, 0.6790, 0.3210], [0.3210, 0.6790, 0.6790], [0.6790, 0.3210, 0.3210], [0.6790, 0.3210, 0.6790], [0.6790, 0.6790, 0.3210], [0.2068, 0.2068, 0.7932], [0.2068, 0.7932, 0.2068], [0.2068, 0.7932, 0.7932], [0.7932, 0.2068, 0.2068], [0.7932, 0.2068, 0.7932], [0.7932, 0.7932, 0.2068]], "raw_formation_energy_ev_per_fu": -6.95, "spacegroup": "Fm-3m (225)"}

{"formula": "GaH2RuSe", "functional": "SCAN", "state": "PBEsol geometry", "lattice_angstrom": [[3.4430, 0.0000, 0.0000], [0.0000, 3.4430, 0.0000], [0.0000, 0.0000, 5.3960]], "species": ["Ga", "H", "H", "Ru", "Se"], "fractional_positions": [[0.0000, 0.0000, 0.0000], [0.0000, 0.5000, 0.0000], [0.5000, 0.0000, 0.0000], [0.0000, 0.0000, 0.5000], [0.5000, 0.5000, 0.5000]], "spacegroup": "P4/mmm (123)"}

{"formula": "Mg2CrNi", "functional": "SCAN", "state": "PBEsol geometry", "lattice_angstrom": [[-1.5119, 2.2644, 4.5515], [1.5119, -2.2644, 4.5515], [1.5119, 2.2644, -4.5515]], "species": ["Mg", "Mg", "Cr", "Ni"], "fractional_positions": [[0.0000, 0.0000, 0.0000], [0.7173, 0.2173, 0.5000], [0.4392, 0.4392, 0.0000], [0.2375, 0.7375, 0.5000]], "de_polymorph_mev_per_atom": 12, "delta_e_f_ev_per_fu": 0.35, "spacegroup": "Imm2 (44)"}

{"formula": "Y2Au", "functional": "SCAN", "state": "PBEsol geometry", "lattice_angstrom": [[6.7529, 0.0000, 0.0000], [0.0000, 6.8485, 0.0000], [0.0000, 0.0000, 3.8194]], "species": ["Y", "Y", "Y", "Y", "Au", "Au"], "fractional_positions": [[0.1522, 0.2255, 0.0000], [0.3478, 0.7255, 0.5000], [0.6522, 0.2745, 0.5000], [0.8478, 0.7745, 0.0000], [0.0000, 0.5000, 0.5000], [0.5000, 0.0000, 0.0000]], "delta_e_f_ev_per_fu": -1.95, "spacegroup": "Pnnm (58)"}

{"formula": "SbOsCl2", "functional": "SCAN", "state": "PBEsol geometry", "lattice_angstrom": [[2.9325, -4.2753, 0.0000], [2.9325, 4.2753, 0.0000], [0.0000, 0.0000, 2.9116]], "species": ["Sb", "Os", "Cl", "Cl"], "fractional_positions": [[0.0000, 0.0000, 0.0000], [0.5000, 0.5000, 0.0000], [0.0000, 0.5000, 0.5000], [0.5000, 0.0000, 0.5000]], "de_polymorph_mev_per_atom": 910, "raw_formation_energy_ev_per_fu": 4.64, "spacegroup": "Cmmm (65)"}

{"formula": "Mg3Hg5", "functional": "SCAN", "state": "PBEsol geometry", "lattice_angstrom": [[3.0028, -7.6605, 0.0000], [3.0028, 7.6605, 0.0000], [-2.0720, 0.0000, 7.5316]], "species": ["Mg", "Mg", "Mg", "Mg", "Mg", "Mg", "Hg", "Hg", "Hg", "Hg", "Hg", "Hg", "Hg", "Hg", "Hg", "Hg"], "fractional_positions": [[0.1620, 0.8380, 0.0000], [0.1969, 0.1969, 0.6780], [0.2309, 0.7691, 0.5000], [0.7691, 0.2309, 0.5000], [0.8031, 0.8031, 0.3220], [0.8380, 0.1620, 0.0000], [0.1533, 0.3560, 0.3700], [0.1964, 0.5474, 0.8062], [0.2766, 0.2766, 0.0490], [0.3560, 0.1533, 0.3700], [0.4526, 0.8036, 0.1938], [0.5474, 0.1964, 0.8062], [0.6440, 0.8467, 0.6300], [0.7234, 0.7234, 0.9510], [0.8036, 0.4526, 0.1938], [0.8467, 0.6440, 0.6300]], "de_polymorph_mev_per_atom": 9, "delta_e_f_ev_per_fu": -1.71, "spacegroup": "C2/m (12)"}

{"formula": "ErAgP2Se6", "functional": "SCAN", "state": "PBEsol geometry", "lattice_angstrom": [[6.5048, 0.0000, 0.0000], [-3.2524, 5.6333, 0.0000], [0.0000, 0.0000, 13.4684]], "species": ["Er", "Er", "Ag", "Ag", "P", "P", "P", "P", "Se", "Se", "Se", "Se", "Se", "Se", "Se", "Se", "Se", "Se", "Se", "Se"], "fractional_positions": [[0.0000, 0.0000, 0.2500], [0.0000, 0.0000, 0.7500], [0.3333, 0.6667, 0.2500], [0.6667, 0.3333, 0.7500], [0.3333, 0.6667, 0.6661], [0.3333, 0.6667, 0.8339], [0.6667, 0.3333, 0.1661], [0.6667, 0.3333, 0.3339], [0.0142, 0.3409, 0.8830], [0.0142, 0.6733, 0.6170], [0.3267, 0.3409, 0.6170], [0.3267, 0.9858, 0.8830], [0.3409, 0.0142, 0.3830], [0.3409, 0.3267, 0.1170], [0.6591, 0.6733, 0.8830], [0.6591, 0.9858, 0.6170], [0.6733, 0.0142, 0.1170], [0.6733, 0.6591, 0.3830], [0.9858, 0.3267, 0.3830], [0.9858, 0.6591, 0.1170]], "raw_formation_energy_ev_per_fu": -6.43, "spacegroup": "P-31c (163)"}

{"formula": "KRu2Pt", "functional": "SCAN", "state": "PBEsol geometry", "lattice_angstrom": [[3.8680, 0.0000, 0.0000], [0.0000, 3.8680, 0.0000], [0.0000, 0.0000, 4.3746]], "species": ["K", "Ru", "Ru", "Pt"], "fractional_positions": [[0.0000, 0.0000, 0.0000], [0.0000, 0.5000, 0.5000], [0.5000, 0.0000, 0.5000], [0.5000, 0.5000, 0.0000]], "de_polymorph_mev_per_atom": 0, "delta_e_f_ev_per_fu": 4.96, "spacegroup": "P4/mmm (123)"}

{"formula": "Cd2InPd2", "functional": "SCAN", "state": "PBEsol geometry", "lattice_angstrom": [[6.9849, 0.0000, 0.0000], [0.0000, 6.9849, 0.0000], [0.0000, 0.0000, 3.7813]], "species": ["Cd", "Cd", "Cd", "Cd", "In", "In", "Pd", "Pd", "Pd", "Pd"], "fractional_positions": [[0.1533, 0.3467, 0.0000], [0.3467, 0.8467, 0.0000], [0.6533, 0.1533, 0.0000], [0.8467, 0.6533, 0.0000], [0.0000, 0.0000, 0.5000], [0.5000, 0.5000, 0.5000], [0.1445, 0.6445, 0.5000], [0.3555, 0.1445, 0.5000], [0.6445, 0.8555, 0.5000], [0.8555, 0.3555, 0.5000]], "de_polymorph_mev_per_atom": 0, "delta_e_f_ev_per_fu": -1.85, "spacegroup": "P4/mbm (127)"}

{"formula": "SrSb2IN", "functional": "SCAN", "state": "PBEsol geometry", "lattice_angstrom": [[4.8450, 0.0000, 0.0000], [0.0000, 4.8450, 0.0000], [0.0000, 0.0000, 5.0807]], "species": ["Sr", "Sb", "Sb", "I", "N"], "fractional_positions": [[0.0000, 0.0000, 0.0000], [0.0000, 0.5000, 0.5000], [0.5000, 0.0000, 0.5000], [0.5000, 0.5000, 0.0000], [0.5000, 0.5000, 0.5000]], "raw_formation_energy_ev_per_fu": 1.06, "spacegroup": "P4/mmm (123)"}

{"formula": "Sc4FeAg", "functional": "SCAN", "state": "PBEsol geometry", "lattice_angstrom": [[0.0000, 3.9045, 3.9045], [3.9045, 0.0000, 3.9045], [3.9045, 3.9045, 0.0000]], "species": ["Sc", "Sc", "Sc", "Sc", "Fe", "Ag"], "fractional_positions": [[0.1244, 0.1244, 0.1244], [0.1244, 0.1244, 0.6268], [0.1244, 0.6268, 0.1244], [0.6268, 0.1244, 0.1244], [0.7500, 0.7500, 0.7500], [0.5000, 0.5000, 0.5000]], "delta_e_f_ev_per_fu": 3.25, "spacegroup": "F-43m (216)"}

{"formula": "SrSiO3", "functional": "SCAN", "state": "PBEsol geometry", "lattice_angstrom": [[6.1601, -3.5672, 0.0000], [6.1601, 3.5672, 0.0000], [-4.0113, 0.0000, 10.1101]], "species": ["Sr", "Sr", "Sr", "Sr", "Sr", "Sr", "Si", "Si", "Si", "Si", "Si", "Si", "O", "O", "O", "O", "O", "O", "O", "O", "O", "O", "O", "O", "O", "O", "O", "O", "O", "O"], "fractional_positions": [[0.0000, 0.5000, 0.0000], [0.1546, 0.6723, 0.5008], [0.3277, 0.8454, 0.9992], [0.5000, 0.0000, 0.5000], [0.6723, 0.1546, 0.0008], [0.8454, 0.3277, 0.4992], [0.1669, 0.8331, 0.2500], [0.3326, 0.4181, 0.7535], [0.4181, 0.3326, 0.2535], [0.5819, 0.6674, 0.7465], [0.6674, 0.5819, 0.2465], [0.8331, 0.1669, 0.7500], [0.0166, 0.8878, 0.1090], [0.1122, 0.9834, 0.3910], [0.1820, 0.3712, 0.6134], [0.2013, 0.5828, 0.2517], [0.2803, 0.4657, 0.8964], [0.3662, 0.6338, 0.7500], [0.3712, 0.1820, 0.1134], [0.4172, 0.7987, 0.2483], [0.4657, 0.2803, 0.3964], [0.5343, 0.7197, 0.6036], [0.5828, 0.2013, 0.7517], [0.6288, 0.8180, 0.8866], [0.6338, 0.3662, 0.2500], [0.7197, 0.5343, 0.1036], [0.7987, 0.4172, 0.7483], [0.8180, 0.6288, 0.3866], [0.8878, 0.0166, 0.6090], [0.9834, 0.1122, 0.8910]], "raw_formation_energy_ev_per_fu": -16.47, "spacegroup": "C2/c (15)"}

{"formula": "ReAg", "functional": "SCAN", "state": "PBEsol geometry", "lattice_angstrom": [[-1.9903, 1.9903, 3.8188], [1.9903, -1.9903, 3.8188], [1.9903, 1.9903, -3.8188]], "species": ["Re", "Re", "Ag", "Ag"], "fractional_positions": [[0.3750, 0.6250, 0.7500], [0.6250, 0.3750, 0.2500], [0.1250, 0.8750, 0.2500], [0.8750, 0.1250, 0.7500]], "de_polymorph_mev_per_atom": 60, "delta_e_f_ev_per_fu": 1.56, "spacegroup": "I4_1/amd (141)"}

{"formula": "ScVO4", "functional": "SCAN", "state": "PBEsol geometry", "lattice_angstrom": [[-3.3891, 3.3891, 3.0407], [3.3891, -3.3891, 3.0407], [3.3891, 3.3891, -3.0407]], "species": ["Sc", "Sc", "V", "V", "O", "O", "O", "O", "O", "O", "O", "O"], "fractional_positions": [[0.3750, 0.6250, 0.7500], [0.6250, 0.3750, 0.2500], [0.1250, 0.8750, 0.2500], [0.8750, 0.1250, 0.7500], [0.1395, 0.6959, 0.4436], [0.2477, 0.3041, 0.9436], [0.3041, 0.2477, 0.4436], [0.3041, 0.8605, 0.0564], [0.6959, 0.1395, 0.9436], [0.6959, 0.7523, 0.5564], [0.7523, 0.6959, 0.0564], [0.8605, 0.3041, 0.5564]], "raw_formation_energy_ev_per_fu": -18.99, "spacegroup": "I4_1/amd (141)"}

{"formula": "MnP2Ru", "functional": "SCAN", "state": "PBEsol geometry", "lattice_angstrom": [[-1.3902, 2.4496, 3.6598], [1.3902, -2.4496, 3.6598], [1.3902, 2.4496, -3.6598]], "species": ["Mn", "P", "P", "Ru"], "fractional_positions": [[0.0000, 0.0000, 0.0000], [0.2388, 0.7388, 0.5000], [0.7612, 0.2612, 0.5000], [0.5000, 0.5000, 0.0000]], "de_polymorph_mev_per_atom": 288, "delta_e_f_ev_per_fu": 0.31, "spacegroup": "Immm (71)"}

{"formula": "KYCo3", "functional": "SCAN", "state": "PBEsol geometry", "lattice_angstrom": [[4.8632, 0.0000, 0.0000], [0.0000, 4.8632, 0.0000], [0.0000, 0.0000, 4.8632]], "species": ["K", "Y", "Co", "Co", "Co"], "fractional_positions": [[0.0000, 0.0000, 0.0000], [0.5000, 0.5000, 0.5000], [0.0000, 0.5000, 0.5000], [0.5000, 0.0000, 0.5000], [0.5000, 0.5000, 0.0000]], "delta_e_f_ev_per_fu": 7.31, "spacegroup": "Pm-3m (221)"}

{"formula": "Sb2PN", "functional": "SCAN", "state": "PBEsol geometry", "lattice_angstrom": [[0.0000, 3.2292, 3.2292], [3.2292, 0.0000, 3.2292], [3.2292, 3.2292, 0.0000]], "species": ["Sb", "Sb", "P", "N"], "fractional_positions": [[0.2500, 0.2500, 0.2500], [0.7500, 0.7500, 0.7500], [0.0000, 0.0000, 0.0000], [0.5000, 0.5000, 0.5000]], "raw_formation_energy_ev_per_fu": 4.76, "spacegroup": "Fm-3m (225)"}

{"formula": "Rb2TiPt", "functional": "SCAN", "state": "PBEsol geometry", "lattice_angstrom": [[0.0000, 3.8871, 3.8871], [3.8871, 0.0000, 3.8871], [3.8871, 3.8871, 0.0000]], "species": ["Rb", "Rb", "Ti", "Pt"], "fractional_positions": [[0.2500, 0.2500, 0.2500], [0.7500, 0.7500, 0.7500], [0.0000, 0.0000, 0.0000], [0.5000, 0.5000, 0.5000]], "delta_e_f_ev_per_fu": 3.79, "spacegroup": "Fm-3m (225)"}

{"formula": "BeSi2Hg", "functional": "SCAN", "state": "PBEsol geometry", "lattice_angstrom": [[2.5804, 0.0000, 0.0000], [0.0000, 3.3695, 0.0000], [0.0000, 0.0000, 7.6413]], "species": ["Be", "Si", "Si", "Hg"], "fractional_positions": [[0.0000, 0.0000, 0.0000], [0.5000, 0.5000, 0.1653], [0.5000, 0.5000, 0.8347], [0.0000, 0.0000, 0.5000]], "de_polymorph_mev_per_atom": 79, "raw_formation_energy_ev_per_fu": 2.25, "spacegroup": "Pmmm (47)"}

{"formula": "Sc2ZnSb", "functional": "SCAN", "state": "PBEsol geometry", "lattice_angstrom": [[-2.1772, 2.1772, 4.1698], [2.1772, -2.1772, 4.1698], [2.1772, 2.1772, -4.1698]], "species": ["Sc", "Sc", "Zn", "Sb"], "fractional_positions": [[0.2500, 0.7500, 0.5000], [0.7500, 0.2500, 0.5000], [0.0000, 0.0000, 0.0000], [0.5000, 0.5000, 0.0000]], "de_polymorph_mev_per_atom": 101, "raw_formation_energy_ev_per_fu": -2.43, "spacegroup": "I4/mmm (139)"}

{"formula": "NiPPd", "functional": "SCAN", "state": "PBEsol geometry", "lattice_angstrom": [[5.9627, 0.0000, 0.0000], [-2.9814, 5.1638, 0.0000], [0.0000, 0.0000, 3.5750]], "species": ["Ni", "Ni", "Ni", "P", "P", "P", "Pd", "Pd", "Pd"], "fractional_positions": [[0.0000, 0.7460, 0.0000], [0.2540, 0.2540, 0.0000], [0.7460, 0.0000, 0.0000], [0.0000, 0.0000, 0.5000], [0.3333, 0.6667, 0.0000], [0.6667, 0.3333, 0.0000], [0.0000, 0.4041, 0.5000], [0.4041, 0.0000, 0.5000], [0.5959, 0.5959, 0.5000]], "delta_e_f_ev_per_fu": -1.40, "spacegroup": "P-62m (189)"}

{"formula": "Ba2Zr2N", "functional": "SCAN", "state": "PBEsol geometry", "lattice_angstrom": [[-2.0653, 2.0653, 8.2021], [2.0653, -2.0653, 8.2021], [2.0653, 2.0653, -8.2021]], "species": ["Ba", "Ba", "Zr", "Zr", "N"], "fractional_positions": [[0.2500, 0.7500, 0.5000], [0.7500, 0.2500, 0.5000], [0.0690, 0.0690, 0.0000], [0.9310, 0.9310, 0.0000], [0.5000, 0.5000, 0.0000]], "raw_formation_energy_ev_per_fu": 9.33, "spacegroup": "I4/mmm (139)"}

{"formula": "MnTlTcNi2", "functional": "SCAN", "state": "PBEsol geometry", "lattice_angstrom": [[4.5938, 0.0000, 0.0000], [0.0000, 4.5938, 0.0000], [0.0000, 0.0000, 4.9841]], "species": ["Mn", "Tl", "Tc", "Ni", "Ni"], "fractional_positions": [[0.0000, 0.0000, 0.0000], [0.5000, 0.5000, 0.5000], [0.5000, 0.5000, 0.0000], [0.0000, 0.5000, 0.5000], [0.5000, 0.0000, 0.5000]], "delta_e_f_ev_per_fu": 8.58, "spacegroup": "P4/mmm (123)"}

{"formula": "NiMo2Cl", "functional": "SCAN", "state": "PBEsol geometry", "lattice_angstrom": [[3.1248, 0.0000, 0.0000], [0.0000, 3.1248, 0.0000], [0.0000, 0.0000, 5.9893]], "species": ["Ni", "Mo", "Mo", "Cl"], "fractional_positions": [[0.0000, 0.0000, 0.0000], [0.0000, 0.0000, 0.5498], [0.5000, 0.5000, 0.7790], [0.5000, 0.5000, 0.2185]], "de_polymorph_mev_per_atom": 0, "raw_formation_energy_ev_per_fu": 1.45, "spacegroup": "P4mm (99)"}

Number 1: E -1.0165 Ry per atom, total magnetization 1.82 μB/f.u.. Number 2: E -1.0199 Ry per atom, total magnetization 0.09 μB/f.u.. Number 3: E -1.1222 Ry per atom, total magnetization 0.01 μB/f.u.. Number 4: E -0.8114 Ry per atom, total magnetization 4.42 μB/f.u.. Number 5: E -3.1063 Ry per atom, total magnetization 0.03 μB/f.u.. Number 6: E -2.2134 Ry per atom, total magnetization 2.20 μB/f.u.. Number 7: E -3.2841 Ry per atom, total magnetization 0.00 μB/f.u.. Number 8: E -1.6861 Ry per atom, total magnetization 0.00 μB/f.u.. Number 9: E -2.6315 Ry per atom, total magnetization 2.77 μB/f.u.. Number 10: E -2.3757 Ry per atom, total magnetization 0.00 μB/f.u.. Number 11: E -2.0840 Ry per atom, total magnetization 0.00 μB/f.u.. Number 12: E -1.2642 Ry per atom, total magnetization 1.41 μB/f.u.. Number 13: E -0.9916 Ry per atom, total magnetization 0.00 μB/f.u.. Number 14: E -3.7082 Ry per atom, total magnetization 0.00 μB/f.u.. Number 15: E -0.9266 Ry per atom, total magnetization 0.00 μB/f.u.. Number 16: E -1.3518 Ry per atom, total magnetization 2.25 μB/f.u.. Number 17: E -1.1873 Ry per atom, total magnetization 5.47 μB/f.u.. Number 18: E -1.6437 Ry per atom, total magnetization 0.00 μB/f.u.. Number 19: E -2.2768 Ry per atom, total magnetization 3.93 μB/f.u.. Number 20: E -1.6593 Ry per atom, total magnetization 0.00 μB/f.u.. Number 21: E -1.5008 Ry per atom, total magnetization 1.24 μB/f.u.. Number 22: E -1.4883 Ry per atom, total magnetization 0.00 μB/f.u.. Number 23: E -2.0646 Ry per atom, total magnetization 0.00 μB/f.u.. Number 24: E -2.1968 Ry per atom, total magnetization 2.51 μB/f.u.. Number 25: E -1.6991 Ry per atom, total magnetization 0.00 μB/f.u..